(1)
A geometry-optimized RbGa structure. Source: Alexandria, functional PBE.

Summary:
Distance to the lowest polymorph of the same formula = 25.7 meV per atom
Volume = 82.14 Å³/f.u.

Cell lengths 5.9660, 4.5804, 6.7085 Å; angles 90.00, 116.34, 90.00 degrees
Closest atoms and distances in Å follow each position.
Sites, in units of the cell vectors:
Rb 0.1515 0.2500 0.3028  7 Ga 3.74-4.01
Rb 0.8485 0.7500 0.6972  7 Ga 3.74-4.01
Ga 0.4629 0.2500 0.9248  2 Ga 2.46
Ga 0.5371 0.7500 0.0752  2 Ga 2.46

=====

(2)
A geometry-optimized RbGa2 structure. Source: Alexandria, functional PBE.

Summary:
Distance to the lowest polymorph of the same formula = 12.6 meV per atom
Volume = 100.95 Å³/f.u.

Cell lengths 6.9403, 6.9403, 4.6200 Å; angles 103.35, 103.35, 102.53 degrees
Closest atoms and distances in Å follow each position.
Sites, in units of the cell vectors:
Rb 0.1804 0.8196 0.7500  8 Ga 3.64-3.99
Rb 0.8196 0.1804 0.2500  8 Ga 3.64-3.99
Ga 0.2982 0.3952 0.0235  3 Ga 2.54-2.71
Ga 0.3952 0.2982 0.5235  3 Ga 2.54-2.71
Ga 0.6048 0.7018 0.4765  3 Ga 2.54-2.71
Ga 0.7018 0.6048 0.9765  3 Ga 2.54-2.71

=====

(3)
A geometry-optimized RbGa structure. Source: Alexandria, functional PBE.

Summary:
Distance to the lowest polymorph of the same formula = 64.3 meV per atom
Volume = 90.21 Å³/f.u.

Cell lengths 4.5565, 16.6320, 7.1418 Å; angles 90.00, 90.00, 90.00 degrees
Closest atoms and distances in Å follow each position.
Sites, in units of the cell vectors:
Rb 0.2500 0.0264 0.2320  3 Ga 3.57-3.70
Rb 0.2500 0.4736 0.2320  3 Ga 3.57-3.70
Rb 0.2500 0.7500 0.4640  6 Ga 3.78-4.14
Rb 0.7500 0.2500 0.5360  6 Ga 3.78-4.14
Rb 0.7500 0.5264 0.7680  3 Ga 3.57-3.70
Rb 0.7500 0.9736 0.7680  3 Ga 3.57-3.70
Ga 0.2500 0.2500 0.0206  4 Ga 2.67
Ga 0.2500 0.6660 0.9722  3 Ga 2.67-2.79
Ga 0.2500 0.8340 0.9722  3 Ga 2.67-2.79
Ga 0.7500 0.1660 0.0278  3 Ga 2.67-2.79
Ga 0.7500 0.3340 0.0278  3 Ga 2.67-2.79
Ga 0.7500 0.7500 0.9794  4 Ga 2.67

=====

(4)
A geometry-optimized RbGa structure. Source: Alexandria, functional PBE.

Summary:
Distance to the lowest polymorph of the same formula = 25.0 meV per atom
Volume = 77.98 Å³/f.u.

Cell lengths 4.5198, 6.3717, 6.6723 Å; angles 118.46, 109.64, 90.21 degrees
Closest atoms and distances in Å follow each position.
Sites, in units of the cell vectors:
Rb 0.0919 0.3408 0.1816  4 Rb 3.74-4.13, 9 Ga 3.88-4.17
Rb 0.9081 0.6592 0.8184  4 Rb 3.74-4.13, 9 Ga 3.88-4.17
Ga 0.2945 0.0447 0.5892  2 Ga 2.46
Ga 0.7055 0.9553 0.4108  2 Ga 2.46

=====

(5)
A geometry-optimized RbGa structure. Source: Alexandria, functional PBE.

Summary:
Distance to the lowest polymorph of the same formula = 333.5 meV per atom
Volume = 101.98 Å³/f.u.

Cell lengths 7.4982, 7.4982, 7.2551 Å; angles 90.00, 90.00, 90.00 degrees
Closest atoms and distances in Å follow each position.
Sites, in units of the cell vectors:
Rb 0.1791 0.1791 0.0000  4 Ga 3.62-3.69, 1 Rb 3.80
Rb 0.3209 0.6791 0.5000  4 Ga 3.62-3.69, 1 Rb 3.80
Rb 0.6791 0.3209 0.5000  4 Ga 3.62-3.69, 1 Rb 3.80
Rb 0.8209 0.8209 0.0000  4 Ga 3.62-3.69, 1 Rb 3.80
Ga 0.1166 0.1166 0.5000  1 Ga 2.47
Ga 0.3834 0.6166 0.0000  1 Ga 2.47
Ga 0.6166 0.3834 0.0000  1 Ga 2.47
Ga 0.8834 0.8834 0.5000  1 Ga 2.47

=====

(6)
A geometry-optimized RbGa2 structure. Source: Alexandria, functional PBE.

Summary:
Distance to the lowest polymorph of the same formula = 0.0 meV per atom
Volume = 90.83 Å³/f.u.

Cell lengths 6.5517, 6.5517, 8.3718 Å; angles 123.67, 123.67, 38.66 degrees
Closest atoms and distances in Å follow each position.
Sites, in units of the cell vectors:
Rb 0.0802 0.0802 0.3689  11 Ga 3.61-4.01, 3 Rb 3.72-4.04
Rb 0.9198 0.9198 0.6311  11 Ga 3.61-4.01, 3 Rb 3.72-4.04
Ga 0.2766 0.2766 0.1481  3 Ga 2.61-2.68
Ga 0.3769 0.3769 0.9476  4 Ga 2.61-2.68
Ga 0.6231 0.6231 0.0524  4 Ga 2.61-2.68
Ga 0.7234 0.7234 0.8519  3 Ga 2.61-2.68

=====

(7)
A geometry-optimized RbGa5 structure. Source: Alexandria, functional PBE.

Summary:
Distance to the lowest polymorph of the same formula = 150.2 meV per atom
Volume = 145.37 Å³/f.u.

Cell lengths 6.8680, 6.8680, 4.7674 Å; angles 90.00, 90.00, 139.72 degrees
Closest atoms and distances in Å follow each position.
Sites, in units of the cell vectors:
Rb 0.0000 0.0000 0.0000  12 Ga 3.36-3.41
Ga 0.1890 0.8110 0.5000  4 Ga 2.84-2.86
Ga 0.3111 0.6889 0.0000  4 Ga 2.84-2.86
Ga 0.5000 0.5000 0.5000  4 Rb 3.36, 8 Ga 3.40-3.41
Ga 0.6889 0.3111 0.0000  4 Ga 2.84-2.86
Ga 0.8110 0.1890 0.5000  4 Ga 2.84-2.86

=====

(8)
A geometry-optimized RbGa2 structure. Source: Alexandria, functional PBE.

Summary:
Distance to the lowest polymorph of the same formula = 136.4 meV per atom
Volume = 91.07 Å³/f.u.

Cell lengths 7.0218, 7.0218, 7.0218 Å; angles 149.09, 149.09, 44.27 degrees
Closest atoms and distances in Å follow each position.
Sites, in units of the cell vectors:
Rb 0.0000 0.0000 0.0000  10 Ga 3.69-3.87, 4 Rb 3.74
Ga 0.2833 0.2833 0.0000  4 Ga 2.78
Ga 0.7167 0.7167 0.0000  4 Ga 2.78

=====

(9)
A geometry-optimized Rb4Ga structure. Source: Alexandria, functional PBE.

Summary:
Volume = 370.94 Å³/f.u.

Cell lengths 7.1851, 7.1851, 7.1851 Å; angles 90.00, 90.00, 90.00 degrees
Closest atoms and distances in Å follow each position.
Sites, in units of the cell vectors:
Rb 0.0000 0.0000 0.0000  12 Rb 5.08
Rb 0.0000 0.5000 0.5000  2 Ga 3.59
Rb 0.5000 0.0000 0.5000  2 Ga 3.59
Rb 0.5000 0.5000 0.0000  2 Ga 3.59
Ga 0.5000 0.5000 0.5000  6 Rb 3.59

=====

(10)
A geometry-optimized RbGa5 structure. Source: Alexandria, functional PBE.

Summary:
Distance to the lowest polymorph of the same formula = 0.0 meV per atom
Volume = 148.38 Å³/f.u.

Cell lengths 4.0802, 5.9331, 6.1295 Å; angles 90.00, 90.00, 90.00 degrees
Closest atoms and distances in Å follow each position.
Sites, in units of the cell vectors:
Rb 0.0000 0.0000 0.0000  16 Ga 3.50-3.88
Ga 0.0000 0.2842 0.5000  3 Ga 2.56-2.65
Ga 0.0000 0.7158 0.5000  3 Ga 2.56-2.65
Ga 0.5000 0.0000 0.5000  4 Ga 2.65
Ga 0.5000 0.5000 0.2366  6 Ga 2.90-3.23
Ga 0.5000 0.5000 0.7634  6 Ga 2.90-3.23

=====

(11)
A geometry-optimized RbGa2 structure. Source: Alexandria, functional PBE.

Summary:
Distance to the lowest polymorph of the same formula = 33.4 meV per atom
Volume = 98.62 Å³/f.u.

Cell lengths 4.4079, 4.4079, 5.8611 Å; angles 90.00, 90.00, 120.00 degrees
Closest atoms and distances in Å follow each position.
Sites, in units of the cell vectors:
Rb 0.0000 0.0000 0.0000  12 Ga 3.88
Ga 0.3333 0.6667 0.5000  3 Ga 2.54
Ga 0.6667 0.3333 0.5000  3 Ga 2.54

=====

(12)
A geometry-optimized RbGa structure. Source: Alexandria, functional PBE.

Summary:
Distance to the lowest polymorph of the same formula = 285.9 meV per atom
Volume = 141.97 Å³/f.u.

Cell lengths 9.0356, 9.0356, 9.0356 Å; angles 109.47, 109.47, 109.47 degrees
Closest atoms and distances in Å follow each position.
Sites, in units of the cell vectors:
Rb 0.0000 0.0000 0.4215  4 Ga 3.54-3.62
Rb 0.0000 0.4215 0.0000  4 Ga 3.54-3.62
Rb 0.4215 0.0000 0.0000  4 Ga 3.54-3.62
Rb 0.5785 0.5785 0.5785  4 Ga 3.54-3.62
Ga 0.0000 0.0000 0.8129  3 Ga 2.76
Ga 0.0000 0.8129 0.0000  3 Ga 2.76
Ga 0.1871 0.1871 0.1871  3 Ga 2.76
Ga 0.8129 0.0000 0.0000  3 Ga 2.76

=====

(13)
A geometry-optimized RbGa7 structure. Source: Alexandria, functional PBE.

Summary:
Distance to the lowest polymorph of the same formula = 55.7 meV per atom
Volume = 181.01 Å³/f.u.

Cell lengths 6.7388, 6.7388, 4.8705 Å; angles 111.16, 111.16, 64.87 degrees
Closest atoms and distances in Å follow each position.
Sites, in units of the cell vectors:
Rb 0.0000 0.0000 0.0000  18 Ga 3.58-3.99
Ga 0.1864 0.5478 0.3666  3 Ga 2.61-2.73
Ga 0.2553 0.2553 0.7536  3 Ga 2.52-2.63
Ga 0.4522 0.8136 0.6334  3 Ga 2.61-2.73
Ga 0.5000 0.5000 0.0000  2 Ga 2.52
Ga 0.5478 0.1864 0.3666  3 Ga 2.61-2.73
Ga 0.7447 0.7447 0.2464  3 Ga 2.52-2.63
Ga 0.8136 0.4522 0.6334  3 Ga 2.61-2.73

=====

(14)
A geometry-optimized RbGa structure. Source: Alexandria, functional PBE.

Summary:
Distance to the lowest polymorph of the same formula = 20.6 meV per atom
Volume = 75.27 Å³/f.u.

Cell lengths 6.9472, 6.9472, 6.5422 Å; angles 90.00, 90.00, 72.46 degrees
Closest atoms and distances in Å follow each position.
Sites, in units of the cell vectors:
Rb 0.0210 0.3199 0.2500  6 Ga 3.76-3.91, 5 Rb 3.82-4.09
Rb 0.3199 0.0210 0.7500  6 Ga 3.76-3.91, 5 Rb 3.82-4.09
Rb 0.6801 0.9790 0.2500  6 Ga 3.76-3.91, 5 Rb 3.82-4.09
Rb 0.9790 0.6801 0.7500  6 Ga 3.76-3.91, 5 Rb 3.82-4.09
Ga 0.2664 0.7336 0.2500  2 Ga 2.52
Ga 0.5000 0.5000 0.0000  2 Ga 2.52
Ga 0.5000 0.5000 0.5000  2 Ga 2.52
Ga 0.7336 0.2664 0.7500  2 Ga 2.52

=====

(15)
A geometry-optimized RbGa2 structure. Source: Alexandria, functional PBE.

Summary:
Distance to the lowest polymorph of the same formula = 4.0 meV per atom
Volume = 95.17 Å³/f.u.

Cell lengths 4.6621, 4.6685, 8.7543 Å; angles 88.30, 88.27, 88.89 degrees
Closest atoms and distances in Å follow each position.
Sites, in units of the cell vectors:
Rb 0.2459 0.2444 0.1668  5 Ga 3.47-3.65
Rb 0.7541 0.7556 0.8332  5 Ga 3.47-3.65
Ga 0.2078 0.7941 0.4996  5 Ga 2.64-2.80
Ga 0.3016 0.3039 0.6501  4 Ga 2.64-2.80
Ga 0.6984 0.6961 0.3499  4 Ga 2.64-2.80
Ga 0.7922 0.2059 0.5004  5 Ga 2.64-2.80

=====

(16)
A geometry-optimized RbGa structure. Source: Alexandria, functional PBE.

Summary:
Distance to the lowest polymorph of the same formula = 0.0 meV per atom
Volume = 89.98 Å³/f.u.

Cell lengths 4.5367, 4.5367, 10.4088 Å; angles 101.99, 101.99, 59.92 degrees
Closest atoms and distances in Å follow each position.
Sites, in units of the cell vectors:
Rb 0.0825 0.0825 0.2629  6 Ga 3.73-3.74
Rb 0.9175 0.9175 0.7371  6 Ga 3.73-3.74
Ga 0.3338 0.3338 0.0000  3 Ga 2.61-2.62
Ga 0.6662 0.6662 0.0000  3 Ga 2.61-2.62

=====

(17)
A geometry-optimized RbGa structure. Source: Alexandria, functional PBE.

Summary:
Distance to the lowest polymorph of the same formula = 793.7 meV per atom
Volume = 129.28 Å³/f.u.

Cell lengths 5.6756, 5.6756, 5.6756 Å; angles 60.00, 60.00, 60.00 degrees
Closest atoms and distances in Å follow each position.
Sites, in units of the cell vectors:
Rb 0.0000 0.0000 0.0000  4 Ga 3.48
Ga 0.2500 0.2500 0.2500  4 Rb 3.48

=====

(18)
A geometry-optimized RbGa6 structure. Source: Alexandria, functional PBE.

Summary:
Distance to the lowest polymorph of the same formula = 0.0 meV per atom
Volume = 171.25 Å³/f.u.

Cell lengths 5.9513, 5.9513, 9.6700 Å; angles 90.00, 90.00, 90.00 degrees
Closest atoms and distances in Å follow each position.
Sites, in units of the cell vectors:
Rb 0.2500 0.7500 0.0000  12 Ga 3.65-3.97
Rb 0.7500 0.2500 0.0000  12 Ga 3.65-3.97
Ga 0.0637 0.5637 0.3774  3 Ga 2.60-2.66
Ga 0.0637 0.9363 0.6226  3 Ga 2.60-2.66
Ga 0.2500 0.2500 0.2182  4 Ga 2.66
Ga 0.2500 0.2500 0.7818  4 Ga 2.66
Ga 0.4363 0.5637 0.6226  3 Ga 2.60-2.66
Ga 0.4363 0.9363 0.3774  3 Ga 2.60-2.66
Ga 0.5637 0.0637 0.6226  3 Ga 2.60-2.66
Ga 0.5637 0.4363 0.3774  3 Ga 2.60-2.66
Ga 0.7500 0.7500 0.2182  4 Ga 2.66
Ga 0.7500 0.7500 0.7818  4 Ga 2.66
Ga 0.9363 0.0637 0.3774  3 Ga 2.60-2.66
Ga 0.9363 0.4363 0.6226  3 Ga 2.60-2.66

=====

(19)
A geometry-optimized RbGa structure. Source: Alexandria, functional PBE.

Summary:
Distance to the lowest polymorph of the same formula = 211.6 meV per atom
Volume = 80.96 Å³/f.u.

Cell lengths 10.2595, 9.3628, 6.4128 Å; angles 78.70, 63.50, 37.80 degrees
Closest atoms and distances in Å follow each position.
Sites, in units of the cell vectors:
Rb 0.0444 0.7056 0.0444  8 Ga 3.65-4.09, 3 Rb 3.67-3.85
Rb 0.2944 0.9556 0.2944  8 Ga 3.65-4.09, 3 Rb 3.67-3.85
Rb 0.7056 0.0444 0.7056  8 Ga 3.65-4.09, 3 Rb 3.67-3.85
Rb 0.9556 0.2944 0.9556  8 Ga 3.65-4.09, 3 Rb 3.67-3.85
Ga 0.3031 0.3031 0.4469  1 Ga 2.51
Ga 0.4469 0.4469 0.3031  1 Ga 2.51
Ga 0.5531 0.5531 0.6969  1 Ga 2.51
Ga 0.6969 0.6969 0.5531  1 Ga 2.51

=====

(20)
A geometry-optimized Rb3Ga structure. Source: Alexandria, functional PBE.

Summary:
Volume = 218.25 Å³/f.u.

Cell lengths 6.7621, 6.7621, 6.7621 Å; angles 120.11, 120.11, 89.80 degrees
Closest atoms and distances in Å follow each position.
Sites, in units of the cell vectors:
Rb 0.0000 0.0000 0.0000  8 Rb 4.14
Rb 0.2500 0.7500 0.5000  4 Ga 4.14, 4 Rb 4.14
Rb 0.7500 0.2500 0.5000  4 Ga 4.14, 4 Rb 4.14
Ga 0.5000 0.5000 0.0000  8 Rb 4.14

=====

(21)
A geometry-optimized RbGa2 structure. Source: Alexandria, functional PBE.

Summary:
Distance to the lowest polymorph of the same formula = 151.0 meV per atom
Volume = 81.11 Å³/f.u.

Cell lengths 6.1217, 6.1217, 6.1217 Å; angles 60.00, 60.00, 60.00 degrees
Closest atoms and distances in Å follow each position.
Sites, in units of the cell vectors:
Rb 0.1250 0.1250 0.1250  12 Ga 3.59, 4 Rb 3.75
Rb 0.8750 0.8750 0.8750  12 Ga 3.59, 4 Rb 3.75
Ga 0.0000 0.5000 0.5000  6 Ga 3.06
Ga 0.5000 0.0000 0.5000  6 Ga 3.06
Ga 0.5000 0.5000 0.0000  6 Ga 3.06
Ga 0.5000 0.5000 0.5000  6 Ga 3.06

=====

(22)
A geometry-optimized Rb5Ga structure. Source: Alexandria, functional PBE.

Summary:
Volume = 413.43 Å³/f.u.

Cell lengths 10.6018, 10.6018, 7.0708 Å; angles 90.00, 90.00, 148.65 degrees
Closest atoms and distances in Å follow each position.
Sites, in units of the cell vectors:
Rb 0.0000 0.0000 0.0000  8 Rb 4.32-4.44, 4 Ga 4.55
Rb 0.1317 0.8683 0.5000  2 Ga 3.93
Rb 0.3415 0.6585 0.0000  8 Rb 4.32-4.71, 2 Ga 4.79
Rb 0.6585 0.3415 0.0000  8 Rb 4.32-4.71, 2 Ga 4.79
Rb 0.8683 0.1317 0.5000  2 Ga 3.93
Ga 0.5000 0.5000 0.5000  4 Rb 3.93

=====

(23)
A geometry-optimized Rb3GaRe structure. Source: Alexandria, functional PBE.

Summary:
Distance to the lowest polymorph of the same formula = 0.0 meV per atom
Volume = 304.42 Å³/f.u.

Cell lengths 6.7270, 6.7270, 6.7270 Å; angles 90.00, 90.00, 90.00 degrees
Closest atoms and distances in Å follow each position.
Sites, in units of the cell vectors:
Rb 0.0000 0.0000 0.5000  2 Ga 3.36
Rb 0.0000 0.5000 0.0000  2 Ga 3.36
Rb 0.5000 0.0000 0.0000  2 Ga 3.36
Ga 0.0000 0.0000 0.0000  6 Rb 3.36
Re 0.5000 0.5000 0.5000  12 Rb 4.76

=====

(24)
A geometry-optimized RbGa2Re structure. Source: Alexandria, functional PBE.

Summary:
Distance to the lowest polymorph of the same formula = 547.9 meV per atom
Volume = 83.18 Å³/f.u.

Cell lengths 4.8997, 4.8997, 4.8997 Å; angles 60.00, 60.00, 60.00 degrees
Closest atoms and distances in Å follow each position.
Sites, in units of the cell vectors:
Rb 0.0000 0.0000 0.0000  8 Ga 3.00
Ga 0.2500 0.2500 0.2500  4 Re 3.00, 4 Rb 3.00
Ga 0.7500 0.7500 0.7500  4 Re 3.00, 4 Rb 3.00
Re 0.5000 0.5000 0.5000  8 Ga 3.00

=====

| no. | final energy (eV/f.u.) | energy of formation (eV per atom) | total moment (μB/f.u.) |
| --- | --- | --- | --- |
| 1 | -4.1 | -0.038 | 0.0 |
| 2 | -7.3 | -0.079 | 0.0 |
| 3 | -4.0 | 0.001 | 0.0 |
| 4 | -4.1 | -0.039 | 0.0 |
| 5 | -3.5 | 0.270 | 0.8 |
| 6 | -7.3 | -0.091 | 0.0 |
| 7 | -15.3 | 0.140 | 0.0 |
| 8 | -6.9 | 0.045 | 0.0 |
| 9 | -6.2 | 0.138 | 0.0 |
| 10 | -16.2 | -0.011 | 0.0 |
| 11 | -7.2 | -0.058 | 0.0 |
| 12 | -3.6 | 0.222 | 1.0 |
| 13 | -22.6 | -0.050 | 0.0 |
| 14 | -4.1 | -0.043 | 0.0 |
| 15 | -7.3 | -0.087 | 0.0 |
| 16 | -4.1 | -0.064 | 0.0 |
| 17 | -2.5 | 0.730 | 0.0 |
| 18 | -19.2 | -0.009 | 0.0 |
| 19 | -3.7 | 0.148 | 0.0 |
| 20 | -5.1 | 0.200 | 1.7 |
| 21 | -6.8 | 0.060 | 0.0 |
| 22 | -7.0 | 0.146 | 0.5 |
| 23 | -10.7 | 1.534 | 4.4 |
| 24 | -14.8 | 1.161 | 0.0 |